Below is a relaxed K2SrLi crystal, with properties calculated at the PBE-GGA level.

The polymorph energy (0 for the lowest one) is 0.30 eV per formula unit. Its space group is R-3m. The volume is 53.9 Å³ per atom.

Cell: 13.812 13.812 13.812 Å, 17.82 17.82 17.82°
Fractional positions:
K (0.239, 0.239, 0.239)
K (0.761, 0.761, 0.761)
Sr (0.000, 0.000, 0.000)
Li (0.500, 0.500, 0.500)

Below is a relaxed KSr2Li2 crystal, with properties calculated at the PBE-GGA level.

The polymorph energy (0 for the lowest one) is 0.19 eV per formula unit. Its space group is I4/mmm. The volume is 44.5 Å³ per atom.

Cell: 13.398 13.398 13.398 Å, 162.30 162.30 25.13°
Fractional positions:
K (0.000, 0.000, 0.000)
Sr (0.363, 0.363, 0.000)
Sr (0.637, 0.637, 0.000)
Li (0.250, 0.750, 0.500)
Li (0.750, 0.250, 0.500)

Below is a relaxed KSr2Li crystal, with properties calculated at the PBE-GGA level.

Its space group is I-4m2. The volume is 50.5 Å³ per atom.

Cell: 7.433 7.433 7.433 Å, 135.07 135.07 65.42°
Fractional positions:
K (0.000, 0.000, 0.000)
Sr (0.500, 0.500, 0.000)
Sr (0.750, 0.250, 0.500)
Li (0.250, 0.750, 0.500)

Below is a relaxed KSr2Li crystal, with properties calculated at the PBE-GGA level.

Its space group is I-42d. The volume is 52.2 Å³ per atom.

Cell: 8.260 8.260 8.260 Å, 103.54 103.54 122.12°
Fractional positions:
K (0.000, 0.000, 0.000)
K (0.750, 0.250, 0.500)
Sr (0.179, 0.625, 0.054)
Sr (0.375, 0.429, 0.554)
Sr (0.571, 0.125, 0.946)
Sr (0.875, 0.821, 0.446)
Li (0.250, 0.750, 0.500)
Li (0.500, 0.500, 0.000)

Below is a relaxed K2SrLi crystal, with properties calculated at the PBE-GGA level.

The polymorph energy (0 for the lowest one) is 0.35 eV per formula unit. Its space group is I4/mmm. The volume is 53.1 Å³ per atom.

Cell: 7.903 7.903 7.903 Å, 138.75 138.75 59.76°
Fractional positions:
K (0.250, 0.750, 0.500)
K (0.750, 0.250, 0.500)
Sr (0.000, 0.000, 0.000)
Li (0.500, 0.500, 0.000)

Below is a relaxed K2SrLi2 crystal, with properties calculated at the PBE-GGA level.

The polymorph energy (0 for the lowest one) is 0.14 eV per formula unit. Its space group is P4/mbm. The volume is 46.3 Å³ per atom.

Cell: 10.671 10.671 4.065 Å, 90.00 90.00 90.00°
Fractional positions:
K (0.128, 0.372, 0.000)
K (0.372, 0.872, 0.000)
K (0.628, 0.128, 0.000)
K (0.872, 0.628, 0.000)
Sr (0.000, 0.000, 0.000)
Sr (0.500, 0.500, 0.000)
Li (0.177, 0.677, 0.500)
Li (0.323, 0.177, 0.500)
Li (0.677, 0.823, 0.500)
Li (0.823, 0.323, 0.500)

| no. | electronic total energy (eV per atom) | N(E_F) (states/eV per cell) | formation enthalpy at 0 K (meV per atom) |
| --- | --- | --- | --- |
| 1 | -1.29 | 2.835 | 155.8 |
| 2 | -1.54 | 3.957 | 121.4 |
| 3 | -1.42 | 2.943 | 174.1 |
| 4 | -1.35 | 8.371 | 246.2 |
| 5 | -1.28 | 3.003 | 168.9 |
| 6 | -1.34 | 7.299 | 199.6 |